Entry 1:
{
  "formula": "CdPAu4",
  "functional": "PBE-GGA",
  "state": "optimized geometry",
  "vol_a3_per_atom": 19.8,
  "m_tot_mub_per_fu": 0.0,
  "e_form_mev_per_atom": 277,
  "sg": "F-43m",
  "crystal_system": "cubic",
  "cell": [[-0.5960, -5.4657, 0.5138], [-4.7936, -2.3925, -1.3379], [-0.3381, -3.1760, -4.5046]],
  "species": ["Au", "Au", "Au", "Au", "Cd", "P"],
  "frac_coords": [[0.3751, 0.3751, 0.8746], [0.3751, 0.8746, 0.3751], [0.3751, 0.3751, 0.3751], [0.8746, 0.3751, 0.3751], [0.7500, 0.7500, 0.7500], [0.0000, 0.0000, 0.0000]]
}


Entry 2:
{
  "formula": "CdP2Au2",
  "functional": "PBE-GGA",
  "state": "optimized geometry",
  "vol_a3_per_atom": 18.4,
  "m_tot_mub_per_fu": 0.0,
  "e_form_mev_per_atom": 204,
  "sg": "I4/mmm",
  "crystal_system": "tetragonal",
  "cell": [[3.3077, 0.0000, 0.0000], [0.0000, 3.3077, 0.0000], [1.6539, 1.6539, 8.4192]],
  "species": ["P", "P", "Au", "Au", "Cd"],
  "frac_coords": [[0.7500, 0.2500, 0.5000], [0.2500, 0.7500, 0.5000], [0.6040, 0.6040, 0.7919], [0.3960, 0.3960, 0.2081], [0.0000, 0.0000, 0.0000]]
}